Record 1
A plane-wave DFT calculation with PBE-GGA was carried out for an optimized crystal structure of LaMgGa2Au.

abc: 4.3238 4.4152 6.5246
angles: 109.78 109.35 90.00
Closest atoms and distances in Å follow each position.
Element x y z (fractional)
Au: 0.8270 0.8270 0.6541  3 Ga 2.56-2.71, 2 Mg 2.66
Ga: 0.6909 0.1909 0.3818  2 Ga 2.70, 2 Au 2.71
Mg: 0.1922 0.6922 0.3843  2 Au 2.66, 2 Ga 2.75
Ga: 0.0502 0.0502 0.1003  1 Au 2.56, 2 Ga 2.70, 2 Mg 2.75
La: 0.4519 0.4519 0.9037  6 Ga 3.29-3.52, 4 Au 3.41, 2 Mg 3.51

Calculated values
- Total magnetic moment: 0.0 μB per formula unit
- Space-group type: Imm2
- Calculated total energy: -3.80 eV/atom
- Fermi-level density of states: 0.64 states/eV/atom
- Energy of formation from the pure elements: -0.63 eV/atom

Record 2
A plane-wave DFT calculation with PBE-GGA was carried out for an optimized crystal structure of La3MgGa2Au6.

abc: 6.2978 6.2978 8.4907
angles: 90.00 90.00 120.00
Closest atoms and distances in Å follow each position.
Element x y z (fractional)
Mg: 0.0000 0.0000 0.5000  6 Au 2.72
Au: 0.3616 0.1808 0.7213  1 Mg 2.72, 1 Ga 2.80, 2 Au 2.88
Au: 0.1808 0.3616 0.2787  1 Mg 2.72, 1 Ga 2.80, 2 Au 2.88
Au: 0.6384 0.8192 0.2787  1 Mg 2.72, 1 Ga 2.80, 2 Au 2.88
La: 0.3333 0.6667 0.6344  1 Ga 3.21, 9 Au 3.24-3.45
Au: 0.8192 0.6384 0.7213  1 Mg 2.72, 1 Ga 2.80, 2 Au 2.88
Au: 0.1808 0.8192 0.2787  1 Mg 2.72, 1 Ga 2.80, 2 Au 2.88
La: 0.0000 0.0000 0.0000  6 Au 3.08
Ga: 0.6667 0.3333 0.9870  3 Au 2.80
La: 0.6667 0.3333 0.3656  1 Ga 3.21, 9 Au 3.24-3.45
Ga: 0.3333 0.6667 0.0130  3 Au 2.80
Au: 0.8192 0.1808 0.7213  1 Mg 2.72, 1 Ga 2.80, 2 Au 2.88

Calculated values
- Total magnetic moment: 0.0 μB per formula unit
- Space-group type: P-3m1
- Calculated total energy: -4.08 eV/atom
- Fermi-level density of states: 0.59 states/eV/atom
- Energy of formation from the pure elements: -0.57 eV/atom